Entry 1:
Crystalline La12Sn4PbN3 at its relaxed geometry. Source: the Alexandria database, functional GGA-PBE.

Summary:
Raw total energy, eV/atom: -5.918
ΔE_f (raw), eV/atom: -0.73

Unit cell a=9.2237 b=9.2237 c=9.2237 alpha=109.47 beta=109.47 gamma=109.47
With the nearest neighbours (Å) after each atom.
Sites, in units of the cell vectors:
La (0.0000, 0.2795, 0.2795)  1 N 2.35
La (0.0000, 0.7205, 0.7205)  1 N 2.35
La (0.2500, 0.5000, 0.7500)  2 N 2.66
La (0.2500, 0.7500, 0.5000)  2 N 2.66
La (0.2795, 0.0000, 0.2795)  1 N 2.35
La (0.2795, 0.2795, 0.0000)  1 N 2.35
La (0.5000, 0.2500, 0.7500)  2 N 2.66
La (0.5000, 0.7500, 0.2500)  2 N 2.66
La (0.7205, 0.0000, 0.7205)  1 N 2.35
La (0.7205, 0.7205, 0.0000)  1 N 2.35
La (0.7500, 0.2500, 0.5000)  2 N 2.66
La (0.7500, 0.5000, 0.2500)  2 N 2.66
Sn (0.0000, 0.0000, 0.5000)  12 La 3.77-3.78
Sn (0.0000, 0.5000, 0.0000)  12 La 3.77-3.78
Sn (0.5000, 0.0000, 0.0000)  12 La 3.77-3.78
Sn (0.5000, 0.5000, 0.5000)  12 La 3.77-3.78
Pb (0.0000, 0.0000, 0.0000)  6 La 2.98
N (0.0000, 0.5000, 0.5000)  2 La 2.35
N (0.5000, 0.0000, 0.5000)  2 La 2.35
N (0.5000, 0.5000, 0.0000)  2 La 2.35

---

Entry 2:
Crystalline SrLa2PbN at its relaxed geometry. Source: the Alexandria database, functional GGA-PBE.

Summary:
Raw total energy, eV/atom: -5.580
ΔE_f (raw), eV/atom: -0.87

Unit cell a=5.1120 b=5.1120 c=5.3026 alpha=90.00 beta=90.00 gamma=90.00
With the nearest neighbours (Å) after each atom.
Sites, in units of the cell vectors:
Sr (0.0000, 0.0000, 0.0000)  2 N 2.65
La (0.0000, 0.5000, 0.5000)  2 N 2.56
La (0.5000, 0.0000, 0.5000)  2 N 2.56
Pb (0.5000, 0.5000, 0.0000)  4 Sr 3.61, 8 La 3.68
N (0.0000, 0.0000, 0.5000)  4 La 2.56, 2 Sr 2.65

---

Entry 3:
Crystalline Sr2LaPbN at its relaxed geometry. Source: the Alexandria database, functional GGA-PBE.

Summary:
Raw total energy, eV/atom: -4.871
ΔE_f (raw), eV/atom: -0.81

Unit cell a=5.2850 b=5.2850 c=5.0858 alpha=90.00 beta=90.00 gamma=90.00
With the nearest neighbours (Å) after each atom.
Sites, in units of the cell vectors:
Sr (0.0000, 0.5000, 0.0000)  2 N 2.64
Sr (0.5000, 0.0000, 0.0000)  2 N 2.64
La (0.0000, 0.0000, 0.5000)  2 N 2.54
Pb (0.5000, 0.5000, 0.5000)  8 Sr 3.67, 4 La 3.74
N (0.0000, 0.0000, 0.0000)  2 La 2.54, 4 Sr 2.64

---

Entry 4:
Crystalline La2TbPbN at its relaxed geometry. Source: the Alexandria database, functional GGA-PBE.

Summary:
Raw total energy, eV/atom: -6.227
ΔE_f (raw), eV/atom: -0.92

Unit cell a=5.1279 b=5.1279 c=4.9040 alpha=90.00 beta=90.00 gamma=90.00
With the nearest neighbours (Å) after each atom.
Sites, in units of the cell vectors:
La (0.0000, 0.5000, 0.0000)  2 N 2.56
La (0.5000, 0.0000, 0.0000)  2 N 2.56
Tb (0.0000, 0.0000, 0.5000)  2 N 2.45
Pb (0.5000, 0.5000, 0.5000)  8 La 3.55, 4 Tb 3.63
N (0.0000, 0.0000, 0.0000)  2 Tb 2.45, 4 La 2.56

---

Entry 5:
Crystalline La2TcPbN at its relaxed geometry. Source: the Alexandria database, functional GGA-PBE.

Summary:
Raw total energy, eV/atom: -7.060
ΔE_f (raw), eV/atom: -0.61

Unit cell a=5.3720 b=5.3720 c=3.9920 alpha=90.00 beta=90.00 gamma=90.00
With the nearest neighbours (Å) after each atom.
Sites, in units of the cell vectors:
La (0.0000, 0.5000, 0.0000)  2 N 2.69
La (0.5000, 0.0000, 0.0000)  2 N 2.69
Tc (0.0000, 0.0000, 0.5000)  2 N 2.00
Pb (0.5000, 0.5000, 0.5000)  8 La 3.35
N (0.0000, 0.0000, 0.0000)  2 Tc 2.00

---

Entry 6:
Crystalline LaTe2PbN at its relaxed geometry. Source: the Alexandria database, functional GGA-PBE.

Summary:
Raw total energy, eV/atom: -4.690
ΔE_f (raw), eV/atom: -0.04
Energy above the lowest structure with this stoichiometry, eV per atom: 0.000

Unit cell a=6.4522 b=6.4522 c=4.0706 alpha=90.00 beta=90.00 gamma=90.00
With the nearest neighbours (Å) after each atom.
Sites, in units of the cell vectors:
La (0.0000, 0.0000, 0.0000)  2 N 2.04
Te (0.0000, 0.5000, 0.0000)  2 La 3.23
Te (0.5000, 0.0000, 0.0000)  2 La 3.23
Pb (0.5000, 0.5000, 0.5000)  8 Te 3.81, 2 Pb 4.07
N (0.0000, 0.0000, 0.5000)  2 La 2.04

---

Entry 7:
Crystalline LaTe2PbN at its relaxed geometry. Source: the Alexandria database, functional GGA-PBE.

Summary:
Raw total energy, eV/atom: -4.464
ΔE_f (raw), eV/atom: 0.19
Energy above the lowest structure with this stoichiometry, eV per atom: 0.226

Unit cell a=5.9128 b=5.9128 c=4.2843 alpha=90.00 beta=90.00 gamma=90.00
With the nearest neighbours (Å) after each atom.
Sites, in units of the cell vectors:
La (0.0000, 0.0000, 0.0000)  8 Te 3.65
Te (0.0000, 0.5000, 0.5000)  2 Pb 2.96
Te (0.5000, 0.0000, 0.5000)  2 Pb 2.96
Pb (0.5000, 0.5000, 0.5000)  2 N 2.14
N (0.5000, 0.5000, 0.0000)  2 Pb 2.14

---

Entry 8:
Crystalline LaTePbN2 at its relaxed geometry. Source: the Alexandria database, functional GGA-PBE.

Summary:
Raw total energy, eV/atom: -4.972
ΔE_f (raw), eV/atom: 0.71
Energy above the lowest structure with this stoichiometry, eV per atom: 0.212

Unit cell a=4.5161 b=4.5161 c=5.9266 alpha=90.00 beta=90.00 gamma=90.00
With the nearest neighbours (Å) after each atom.
Sites, in units of the cell vectors:
La (0.0000, 0.0000, 0.0000)  4 Te 3.19
Te (0.5000, 0.5000, 0.0000)  2 Pb 2.96, 4 La 3.19
Pb (0.5000, 0.5000, 0.5000)  4 N 2.26
N (0.0000, 0.5000, 0.5000)  2 Pb 2.26
N (0.5000, 0.0000, 0.5000)  2 Pb 2.26